# 1
This record from Alexandria via LeMat-Bulk describes an optimized crystal structure of NpTl2AuO8. The functional is GGA-PBE.

Structure (POSCAR):
```
NpTl2AuO8
1.0
-0.324 5.004 -1.243
-3.017 -1.607 -3.687
-5.827 -0.051 3.908
O Np Tl Au
8 1 2 1
Direct
0.678 0.723 0.001
0.668 0.743 0.488
0.133 0.818 0.753
0.332 0.257 0.512
0.182 0.768 0.170
0.322 0.277 0.999
0.867 0.182 0.247
0.818 0.232 0.830
0.000 0.000 0.000
0.538 0.457 0.262
0.462 0.543 0.738
0.000 0.000 0.500
```

Space group = P-1 (2)

---

# 2
This record from Alexandria via LeMat-Bulk describes an optimized crystal structure of Cr2MoRh. The functional is GGA-PBE.

Structure (POSCAR):
```
Cr2MoRh
1.0
-0.843 -4.042 -0.116
2.338 -0.457 -1.059
2.799 -0.704 4.207
Mo Cr Rh
1 2 1
Direct
0.500 0.250 0.250
0.000 0.429 0.503
0.000 0.071 0.997
0.500 0.750 0.750
```

Space group = P2/m (10)
N(E_F) = 1.374 states/eV per atom
E_form = 0.15 eV/atom

---

# 3
This record from Alexandria via LeMat-Bulk describes an optimized crystal structure of PrHoNiAg. The functional is GGA-PBE.

Structure (POSCAR):
```
PrHoNiAg
1.0
5.072 0.000 0.000
2.536 4.393 0.000
2.536 1.464 4.142
Pr Ag Ho Ni
1 1 1 1
Direct
0.500 0.500 0.500
0.250 0.250 0.250
0.000 0.000 0.000
0.750 0.750 0.750
```

Space group = F-43m (216)
N(E_F) = 0.593 states/eV per atom
E_form = -0.25 eV/atom

---

# 4
This record from Alexandria via LeMat-Bulk describes an optimized crystal structure of YMg3Rh4. The functional is GGA-PBE.

Structure (POSCAR):
```
YMg3Rh4
1.0
4.518 0.000 0.000
0.000 6.449 0.000
0.000 0.000 9.039
Rh Y Mg
8 2 6
Direct
0.500 0.237 0.500
0.000 0.237 0.250
0.000 0.237 0.750
0.000 0.763 0.250
0.500 0.763 0.000
0.500 0.763 0.500
0.500 0.237 0.000
0.000 0.763 0.750
0.000 0.500 0.500
0.000 0.500 0.000
0.501 0.000 0.750
0.000 0.000 0.000
0.500 0.500 0.750
0.499 0.000 0.250
0.000 0.000 0.500
0.500 0.500 0.250
```

Space group = P4/mmm (123)
N(E_F) = 0.452 states/eV per atom
E_form = -0.59 eV/atom

---

# 5
This record from Alexandria via LeMat-Bulk describes an optimized crystal structure of Nd2Al4ZnAu3. The functional is GGA-PBE.

Structure (POSCAR):
```
Nd2Al4ZnAu3
1.0
-2.645 -1.757 -3.014
3.487 -1.223 -2.348
0.244 -9.247 5.177
Al Au Nd Zn
4 3 2 1
Direct
0.500 0.500 0.000
0.000 0.500 0.367
0.000 0.000 0.000
0.500 0.000 0.633
0.000 0.500 0.130
0.500 0.000 0.870
0.000 0.000 0.500
0.500 0.000 0.254
0.000 0.500 0.746
0.500 0.500 0.500
```

Space group = P-4m2 (115)
N(E_F) = 0.477 states/eV per atom
E_form = -0.68 eV/atom

---

# 6
This record from Alexandria via LeMat-Bulk describes an optimized crystal structure of Al3IrI. The functional is GGA-PBE.

Structure (POSCAR):
```
Al3IrI
1.0
-0.194 -0.853 4.816
-1.133 -4.681 -0.874
4.758 -1.149 -0.012
Al I Ir
3 1 1
Direct
0.000 0.000 0.500
0.000 0.500 0.000
0.500 0.000 0.000
0.500 0.500 0.500
0.000 0.000 0.000
```

Space group = Pm-3m (221)
N(E_F) = 0.734 states/eV per atom

---

# 7
This record from Alexandria via LeMat-Bulk describes an optimized crystal structure of Mg8CdSn4. The functional is GGA-PBE.

Structure (POSCAR):
```
Mg8CdSn4
1.0
-4.289 5.421 0.433
-3.200 -2.070 -5.783
-4.397 -3.781 3.787
Mg Sn Cd
8 4 1
Direct
0.754 0.246 0.754
0.754 0.246 0.246
0.246 0.754 0.754
0.246 0.246 0.246
0.246 0.754 0.246
0.754 0.754 0.246
0.754 0.754 0.754
0.246 0.246 0.754
0.500 0.000 0.500
0.000 0.000 0.000
0.000 0.500 0.500
0.500 0.500 0.000
0.500 0.500 0.500
```

Space group = Pm-3m (221)
N(E_F) = 0.271 states/eV per atom
E_form = -0.13 eV/atom

---

# 8
This record from Alexandria via LeMat-Bulk describes an optimized crystal structure of HgTePI2. The functional is GGA-PBE.

Structure (POSCAR):
```
HgTePI2
1.0
-4.530 -2.071 -2.344
2.476 0.146 -4.915
1.894 -5.053 0.804
P I Hg Te
1 2 1 1
Direct
0.000 0.000 0.000
0.500 0.000 0.000
0.000 0.500 0.000
0.500 0.500 0.500
0.000 0.000 0.500
```

Space group = P4/mmm (123)
N(E_F) = 0.761 states/eV per atom

---

# 9
This record from Alexandria via LeMat-Bulk describes an optimized crystal structure of Rb2CdH. The functional is GGA-PBE.

Structure (POSCAR):
```
Rb2CdH
1.0
3.770 0.000 0.000
0.000 3.770 0.000
0.000 0.000 9.335
Rb Cd H
2 1 1
Direct
0.000 0.000 0.193
0.000 0.000 0.807
0.500 0.500 0.500
0.500 0.500 0.000
```

Space group = P4/mmm (123)
N(E_F) = 0.302 states/eV per atom

---

# 10
This record from Alexandria via LeMat-Bulk describes an optimized crystal structure of SrGaAsO6. The functional is GGA-PBE.

Structure (POSCAR):
```
SrGaAsO6
1.0
-1.240 3.026 3.919
-4.428 2.538 -0.037
-2.429 -4.201 2.476
O Ga As Sr
6 1 1 1
Direct
0.635 0.387 0.695
0.387 0.635 0.305
0.977 0.387 0.305
0.977 0.635 0.695
0.387 0.977 0.695
0.635 0.977 0.305
0.333 0.333 0.500
0.667 0.667 0.500
0.000 0.000 0.000
```

Space group = P312 (149)
N(E_F) = 0.500 states/eV per atom

---

# 11
This record from Alexandria via LeMat-Bulk describes an optimized crystal structure of Y3Zn7Ag2. The functional is GGA-PBE.

Structure (POSCAR):
```
Y3Zn7Ag2
1.0
-3.164 1.227 4.285
1.566 -1.405 5.045
3.620 7.649 3.968
Ag Y Zn
2 3 7
Direct
0.335 0.335 0.996
0.665 0.665 0.004
0.859 0.859 0.424
0.000 0.000 0.000
0.141 0.141 0.576
0.078 0.588 0.745
0.588 0.078 0.745
0.412 0.412 0.255
0.922 0.412 0.255
0.412 0.922 0.255
0.500 0.500 0.500
0.588 0.588 0.745
```

Space group = R-3m (166)
N(E_F) = 0.728 states/eV per atom
E_form = -0.30 eV/atom

---

# 12
This record from Alexandria via LeMat-Bulk describes an optimized crystal structure of CsTaTl2F8. The functional is GGA-PBE.

Structure (POSCAR):
```
CsTaTl2F8
1.0
5.008 -0.286 0.000
-0.236 6.645 -0.005
0.007 0.012 8.612
F Ta Cs Tl
8 1 1 2
Direct
0.490 0.724 0.500
0.118 0.826 0.162
0.663 0.838 0.000
0.881 0.174 0.161
0.510 0.276 0.500
0.119 0.826 0.839
0.337 0.162 0.000
0.882 0.174 0.838
0.000 0.000 0.000
0.000 0.000 0.500
0.500 0.500 0.728
0.500 0.500 0.272
```

Space group = P-1 (2)
N(E_F) = 0.000 states/eV per atom

---

Number 1: uncorrected energy -6.225 eV/atom. Number 2: uncorrected energy -9.211 eV/atom. Number 3: uncorrected energy -4.743 eV/atom. Number 4: uncorrected energy -5.669 eV/atom. Number 5: uncorrected energy -4.242 eV/atom. Number 6: uncorrected energy -4.614 eV/atom. Number 7: uncorrected energy -2.416 eV/atom. Number 8: uncorrected energy -2.106 eV/atom. Number 9: uncorrected energy -1.543 eV/atom. Number 10: uncorrected energy -5.867 eV/atom. Number 11: uncorrected energy -3.135 eV/atom. Number 12: uncorrected energy -5.447 eV/atom.